[1]
Computed, not measured: an optimized crystal structure of Ta2FeRh2 at the PBE-GGA level of DFT.

Computed properties:
Space-group type   No. 127
Formation enthalpy at 0 K   0.01 eV/f.u.
Energy   -93.73 eV/cell

Cell: 7.188 7.188 3.093 Å, 90.00 90.00 90.00°
Positions (direct):
Rh  0.368  0.868  0.000
Rh  0.868  0.632  0.000
Rh  0.632  0.132  0.000
Rh  0.132  0.368  0.000
Fe  0.000  0.000  0.000
Fe  0.500  0.500  0.000
Ta  0.173  0.673  0.500
Ta  0.673  0.827  0.500
Ta  0.827  0.327  0.500
Ta  0.327  0.173  0.500

***

[2]
Computed, not measured: an optimized crystal structure of Zr4In5Co2 at the PBE-GGA level of DFT.

Computed properties:
Space-group type   No. 10
Formation enthalpy at 0 K   -3.84 eV/f.u.
Energy   -65.93 eV/cell

Cell: 3.304 7.552 9.097 Å, 85.18 90.00 90.00°
Positions (direct):
Zr  0.500  0.799  0.438
Zr  0.500  0.184  0.159
Zr  0.500  0.201  0.562
Zr  0.500  0.816  0.841
In  0.000  0.540  0.667
In  0.000  0.156  0.859
In  0.000  0.500  0.000
In  0.000  0.844  0.141
In  0.000  0.460  0.333
Co  0.000  0.077  0.367
Co  0.000  0.923  0.633

***

[3]
Computed, not measured: an optimized crystal structure of K4Ce3ThS8 at the PBE-GGA level of DFT.

Computed properties:
Space-group type   No. 166
Energy relative to the elements, uncorrected   -1.769 eV per atom
Energy   -90.93 eV/cell

Cell: 8.390 8.840 8.390 Å, 118.33 120.00 90.00°
Positions (direct):
K  0.500  0.000  0.000
K  0.500  0.000  0.500
K  0.000  0.000  0.000
K  0.000  0.000  0.500
Ce  0.500  0.500  0.000
Ce  0.500  0.500  0.500
Ce  0.000  0.500  0.500
Th  0.000  0.500  0.000
S  0.233  0.708  0.975
S  0.233  0.708  0.466
S  0.264  0.292  0.528
S  0.742  0.708  0.975
S  0.258  0.292  0.025
S  0.736  0.708  0.472
S  0.767  0.292  0.534
S  0.767  0.292  0.025

***

[4]
Computed, not measured: an optimized crystal structure of PmGeBr5 at the PBE-GGA level of DFT.

Computed properties:
Space-group type   No. 11
Energy relative to the elements, uncorrected   -1.263 eV per atom
Energy   -53.15 eV/cell

Cell: 4.243 8.304 14.102 Å, 95.13 90.00 90.00°
Positions (direct):
Pm  0.250  0.399  0.351
Pm  0.750  0.601  0.649
Ge  0.750  0.109  0.116
Ge  0.250  0.891  0.884
Br  0.250  0.066  0.309
Br  0.750  0.136  0.933
Br  0.750  0.315  0.488
Br  0.250  0.338  0.128
Br  0.250  0.400  0.710
Br  0.750  0.600  0.290
Br  0.750  0.662  0.872
Br  0.250  0.685  0.512
Br  0.250  0.864  0.067
Br  0.750  0.934  0.691

***

[5]
Computed, not measured: an optimized crystal structure of NdHfSb2 at the PBE-GGA level of DFT.

Computed properties:
Space-group type   No. 160
Energy relative to the elements, uncorrected   -0.701 eV per atom
Energy   -25.77 eV/cell

Cell: 4.204 4.204 7.857 Å, 74.48 74.48 60.00°
Positions (direct):
Nd  0.670  0.670  0.990
Hf  0.497  0.497  0.508
Sb  0.090  0.090  0.729
Sb  0.242  0.242  0.273

***

[6]
Computed, not measured: an optimized crystal structure of SmGa2Ni at the PBE-GGA level of DFT.

Computed properties:
Space-group type   No. 65
Formation enthalpy at 0 K   -2.58 eV/f.u.
Energy   -38.28 eV/cell

Cell: 9.017 9.017 4.106 Å, 90.00 90.00 153.16°
Positions (direct):
Sm  0.641  0.359  0.500
Sm  0.359  0.641  0.500
Ga  0.791  0.209  0.000
Ga  0.209  0.791  0.000
Ga  0.000  0.000  0.500
Ga  0.500  0.500  0.000
Ni  0.926  0.074  0.000
Ni  0.074  0.926  0.000

***

[7]
Computed, not measured: an optimized crystal structure of Ca2In2BiRh5 at the PBE-GGA level of DFT.

Computed properties:
Space-group type   No. 127
Formation enthalpy at 0 K   -3.21 eV/f.u.
Energy   -106.66 eV/cell

Cell: 3.754 10.247 10.247 Å, 90.00 90.00 90.00°
Positions (direct):
Ca  0.000  0.671  0.171
Ca  0.000  0.329  0.829
Ca  0.000  0.171  0.329
Ca  0.000  0.829  0.671
In  0.000  0.128  0.628
In  0.000  0.872  0.372
In  0.000  0.628  0.872
In  0.000  0.372  0.128
Bi  0.000  0.000  0.000
Bi  0.000  0.500  0.500
Rh  0.500  0.198  0.064
Rh  0.500  0.802  0.936
Rh  0.500  0.064  0.802
Rh  0.500  0.698  0.436
Rh  0.500  0.936  0.198
Rh  0.500  0.302  0.564
Rh  0.500  0.564  0.698
Rh  0.500  0.436  0.302
Rh  0.500  0.500  0.000
Rh  0.500  0.000  0.500

***

[8]
Computed, not measured: an optimized crystal structure of DyTmTlRh at the PBE-GGA level of DFT.

Computed properties:
Space-group type   No. 216
Formation enthalpy at 0 K   -2.05 eV/f.u.
Energy   -20.84 eV/cell

Cell: 5.080 5.080 5.080 Å, 60.00 60.00 60.00°
Positions (direct):
Tl  0.000  0.000  0.000
Tm  0.750  0.750  0.750
Rh  0.500  0.500  0.500
Dy  0.250  0.250  0.250

***

Results for total magnetization: 0.00; 0.00; 3.98; 0.00; 0.00; 0.00; 0.00; 0.00 (in Bohr magnetons per cell, following the order of the records).
Results for N(E_F): 1.74; 0.64; 1.39; 0.00; 0.98; 0.50; 0.69; 0.36 (in states/eV per atom, following the order of the records).